This record from Alexandria describes a relaxed Nd5Y3Te8 crystal. The functional is GGA-PBE.

The value obtained for the formation energy without anion corrections is -1.377 eV/atom. For the electronic total energy, the calculation gives -0.2076 hartree per atom.

Unit cell a=8.8637 b=8.8637 c=21.9930 alpha=90.00 beta=90.00 gamma=120.00
Last column: nearest neighbours and their distance in Å.
Space group R-3m (No. 166, hexagonal axes)
Symmetry-distinct sites (fractional):
Nd (0.0000, 0.0000, 0.0000) x3  6 Te 3.15
Nd (0.0000, 0.0000, 0.5000) x3  6 Te 3.15
Nd (0.0000, 0.5000, 0.0000) x9  6 Te 3.20
Y (0.0000, 0.5000, 0.5000) x9  6 Te 3.10
Te (0.0000, 0.0000, 0.2461) x6  3 Y 3.10, 3 Nd 3.20
Te (0.0052, 0.5026, 0.7526) x18  2 Y 3.10, 4 Nd 3.15-3.20

This record from Alexandria describes a relaxed NdY2Te4 crystal. The functional is GGA-PBE.

The value obtained for the formation energy without anion corrections is -1.403 eV/atom. Its excess energy over the best structure of this formula in the dataset is 0.013 eV/atom. For the electronic total energy, the calculation gives -0.2104 hartree per atom.

Unit cell a=4.3059 b=14.3909 c=15.0255 alpha=90.00 beta=90.00 gamma=90.00
Last column: nearest neighbours and their distance in Å.
Space group Cmcm (No. 63)
Symmetry-distinct sites (fractional):
Nd (0.0000, 0.1254, 0.2500) x4  6 Te 3.19-3.23
Y (0.0000, 0.3686, 0.0680) x8  6 Te 3.04-3.13
Te (0.0000, 0.0000, 0.0000) x4  4 Y 3.04
Te (0.0000, 0.2761, 0.6205) x8  3 Y 3.10-3.13, 2 Nd 3.23
Te (0.0000, 0.4617, 0.2500) x4  2 Y 3.05, 2 Nd 3.19

This record from Alexandria describes a relaxed NdY5Te6 crystal. The functional is GGA-PBE.

The value obtained for the formation energy without anion corrections is -1.331 eV/atom. For the electronic total energy, the calculation gives -0.2202 hartree per atom.

Unit cell a=7.6020 b=13.1850 c=7.5831 alpha=90.00 beta=109.47 gamma=90.00
Last column: nearest neighbours and their distance in Å.
Space group C2/m (No. 12)
Symmetry-distinct sites (fractional):
Nd (0.0000, 0.0000, 0.0000) x2  6 Te 3.15-3.19
Y (0.0000, 0.1570, 0.5000) x4  6 Te 3.05-3.11
Y (0.0000, 0.3338, 0.0000) x4  6 Te 3.06-3.10
Y (0.0000, 0.5000, 0.5000) x2  6 Te 3.05-3.11
Te (0.2403, 0.5000, 0.2480) x4  5 Y 3.05-3.06, 1 Nd 3.15
Te (0.2434, 0.3284, 0.7434) x8  5 Y 3.10-3.11, 1 Nd 3.19

This record from Alexandria describes a relaxed NdYTe crystal. The functional is GGA-PBE.

The value obtained for the formation energy without anion corrections is -0.792 eV/atom. Its excess energy over the best structure of this formula in the dataset is 0.117 eV/atom. For the electronic total energy, the calculation gives -0.2052 hartree per atom.

Unit cell a=3.9394 b=3.9394 c=11.8125 alpha=90.00 beta=90.00 gamma=90.00
Last column: nearest neighbours and their distance in Å.
Space group I4mm (No. 107)
Symmetry-distinct sites (fractional):
Nd (0.0000, 0.0000, 0.0000) x2  4 Te 3.42, 5 Y 3.59-3.64
Y (0.0000, 0.0000, 0.3082) x2  4 Te 3.24, 4 Nd 3.59
Te (0.0000, 0.0000, 0.6682) x2  4 Y 3.24, 4 Nd 3.42

This record from Alexandria describes a relaxed Nd2YTe4 crystal. The functional is GGA-PBE.

The value obtained for the formation energy without anion corrections is -1.446 eV/atom. Its excess energy over the best structure of this formula in the dataset is 0.000 eV/atom. For the electronic total energy, the calculation gives -0.2031 hartree per atom.

Unit cell a=8.8888 b=8.8909 c=12.3605 alpha=90.00 beta=90.00 gamma=90.00
Last column: nearest neighbours and their distance in Å.
Space group Imma (No. 74)
Symmetry-distinct sites (fractional):
Nd (0.0000, 0.0000, 0.0000) x4  6 Te 3.13-3.19
Nd (0.2500, 0.2500, 0.2500) x4  6 Te 3.18-3.22
Y (0.0000, 0.0000, 0.5000) x4  6 Te 3.05-3.11
Te (0.0000, 0.0063, 0.7466) x8  1 Y 3.05, 3 Nd 3.13-3.18
Te (0.2436, 0.2500, 0.5105) x8  2 Y 3.11, 3 Nd 3.19-3.22

This record from Alexandria describes a relaxed Nd6YTe8 crystal. The functional is GGA-PBE.

The value obtained for the formation energy without anion corrections is -1.453 eV/atom. For the electronic total energy, the calculation gives -0.2009 hartree per atom.

Unit cell a=12.6677 b=12.6677 c=12.6677 alpha=90.00 beta=90.00 gamma=90.00
Last column: nearest neighbours and their distance in Å.
Space group Fm-3m (No. 225)
Symmetry-distinct sites (fractional):
Nd (0.0000, 0.2500, 0.2500) x24  6 Te 3.17
Y (0.0000, 0.0000, 0.0000) x4  6 Te 3.16
Te (0.0000, 0.0000, 0.2497) x24  1 Y 3.16, 4 Nd 3.17
Te (0.2500, 0.2500, 0.2500) x8  6 Nd 3.17